## w
Material: Cr2PPb
Method: DFT, PBE-GGA
State: optimized geometry

Cell: 3.048 3.032 7.104 Å, 90.00 101.07 90.00°
Fractional coordinates of all 4 atoms:
1 Cr 0.061 0.000 0.158
2 Cr 0.939 0.000 0.842
3 P 0.500 0.500 0.000
4 Pb 0.500 0.500 0.500



## x
Material: Cr2PPb
Method: DFT, PBE-GGA
State: optimized geometry

Cell: 3.012 3.012 7.106 Å, 90.00 90.00 90.00°
Fractional coordinates of all 4 atoms:
1 Cr 0.000 0.000 0.178
2 Cr 0.000 0.000 0.822
3 P 0.500 0.500 0.000
4 Pb 0.500 0.500 0.500



## y
Material: Cr2PPb
Method: DFT, PBE-GGA
State: optimized geometry

Cell: 5.522 5.522 5.522 Å, 139.21 139.21 59.05°
Fractional coordinates of all 4 atoms:
1 Cr 0.000 0.000 0.000
2 Cr 0.750 0.250 0.500
3 P 0.250 0.750 0.500
4 Pb 0.500 0.500 0.000



Most stable one: w, least stable one: y.



## w
Material: Cr2PPb
Method: DFT, PBE-GGA
State: optimized geometry

Cell: 4.660 4.660 4.660 Å, 60.00 60.00 60.00°
Fractional coordinates of all 4 atoms:
1 Cr 0.000 0.000 0.000
2 Cr 0.250 0.250 0.250
3 P 0.750 0.750 0.750
4 Pb 0.500 0.500 0.500



## x
Material: Cr2PPb
Method: DFT, PBE-GGA
State: optimized geometry

Cell: 4.663 4.663 3.395 Å, 90.00 90.00 98.02°
Fractional coordinates of all 4 atoms:
1 Cr 0.000 0.500 0.000
2 Cr 0.500 0.000 0.000
3 P 0.000 0.000 0.500
4 Pb 0.500 0.500 0.500



Most stable one: x, least stable one: w.



## w
Material: Cr2PPb
Method: DFT, PBE-GGA
State: optimized geometry

Cell: 5.795 5.795 5.795 Å, 105.77 105.77 117.16°
Fractional coordinates of all 8 atoms:
1 Cr 0.057 0.625 0.932
2 Cr 0.375 0.307 0.432
3 Cr 0.693 0.125 0.068
4 Cr 0.875 0.943 0.568
5 P 0.000 0.000 0.000
6 P 0.750 0.250 0.500
7 Pb 0.250 0.750 0.500
8 Pb 0.500 0.500 0.000



## x
Material: Cr2PPb
Method: DFT, PBE-GGA
State: optimized geometry

Cell: 3.722 3.760 5.294 Å, 90.00 90.23 90.00°
Fractional coordinates of all 4 atoms:
1 Cr 0.000 0.000 0.000
2 Cr 0.500 0.500 0.500
3 P 0.000 0.000 0.500
4 Pb 0.500 0.500 0.000



## y
Material: Cr2PPb
Method: DFT, PBE-GGA
State: optimized geometry

Cell: 4.491 4.491 3.661 Å, 90.00 90.00 90.00°
Fractional coordinates of all 4 atoms:
1 Cr 0.000 0.500 0.000
2 Cr 0.500 0.000 0.000
3 P 0.000 0.000 0.500
4 Pb 0.500 0.500 0.500



Most stable one: w, least stable one: y.



## w
Material: Cr2PPb
Method: DFT, PBE-GGA
State: optimized geometry

Cell: 4.679 4.679 3.198 Å, 97.43 97.43 99.59°
Fractional coordinates of all 4 atoms:
1 Cr 0.000 0.500 0.000
2 Cr 0.500 0.000 0.000
3 P 0.000 0.000 0.500
4 Pb 0.500 0.500 0.500



## x
Material: Cr2PPb
Method: DFT, PBE-GGA
State: optimized geometry

Cell: 4.862 4.862 4.862 Å, 125.54 125.54 80.64°
Fractional coordinates of all 4 atoms:
1 Cr 0.250 0.750 0.500
2 Cr 0.750 0.250 0.500
3 P 0.000 0.000 0.000
4 Pb 0.500 0.500 0.000



## y
Material: Cr2PPb
Method: DFT, PBE-GGA
State: optimized geometry

Cell: 8.706 8.706 8.706 Å, 20.76 20.76 20.76°
Fractional coordinates of all 4 atoms:
1 Cr 0.000 0.000 0.000
2 Cr 0.261 0.261 0.261
3 P 0.722 0.722 0.722
4 Pb 0.496 0.496 0.496



## z
Material: Cr2PPb
Method: DFT, PBE-GGA
State: optimized geometry

Cell: 3.192 3.192 6.692 Å, 90.00 90.00 90.00°
Fractional coordinates of all 4 atoms:
1 Cr 0.000 0.000 0.000
2 Cr 0.500 0.500 0.242
3 P 0.000 0.000 0.362
4 Pb 0.500 0.500 0.716



Most stable one: z, least stable one: w.



## w
Material: CrPPb3
Method: DFT, PBE-GGA
State: optimized geometry

Cell: 5.201 5.201 5.201 Å, 90.00 90.00 90.00°
Fractional coordinates of all 5 atoms:
1 Cr 0.000 0.000 0.000
2 P 0.500 0.500 0.500
3 Pb 0.000 0.000 0.500
4 Pb 0.000 0.500 0.000
5 Pb 0.500 0.000 0.000



## x
Material: CrPPb3
Method: DFT, PBE-GGA
State: optimized geometry

Cell: 5.356 5.356 5.356 Å, 90.00 90.00 90.00°
Fractional coordinates of all 5 atoms:
1 Cr 0.000 0.000 0.000
2 P 0.500 0.500 0.500
3 Pb 0.000 0.500 0.500
4 Pb 0.500 0.000 0.500
5 Pb 0.500 0.500 0.000



Most stable one: w, least stable one: x.



## w
Material: Cr3PPb
Method: DFT, PBE-GGA
State: optimized geometry

Cell: 5.119 5.119 5.119 Å, 90.00 90.00 90.00°
Fractional coordinates of all 5 atoms:
1 Cr 0.000 0.000 0.500
2 Cr 0.000 0.500 0.000
3 Cr 0.500 0.000 0.000
4 P 0.500 0.500 0.500
5 Pb 0.000 0.000 0.000



## x
Material: Cr3PPb
Method: DFT, PBE-GGA
State: optimized geometry

Cell: 4.575 4.575 4.575 Å, 90.00 90.00 90.00°
Fractional coordinates of all 5 atoms:
1 Cr 0.000 0.000 0.500
2 Cr 0.000 0.500 0.000
3 Cr 0.500 0.000 0.000
4 P 0.000 0.000 0.000
5 Pb 0.500 0.500 0.500



Most stable one: x, least stable one: w.